Record 1
KTlSeN2: relaxed, PBE-GGA.

Values from the calculation:
The value obtained for the raw formation energy is 1.227 eV per atom. The magnetization comes out at 4.07 μB per formula unit. The space group is P4/mmm, No. 123. The density is 4.68 g cm⁻³. Its energy relative to the lowest polymorph listed for this composition is 0.00 kcal/mol of atoms.

Cell: 4.7081 4.7081 5.6107 Å, 90.00 90.00 90.00°
Each line ends with the local moment (μB).
Element x y z (fractional)
Se  0.0000  0.0000  0.5000  0.30
N  0.5000  0.0000  0.0000  1.22
N  0.0000  0.5000  0.0000  1.22
K  0.5000  0.5000  0.5000  0.00
Tl  0.0000  0.0000  0.0000  -0.01


Record 2
KTlSeN2: relaxed, PBE-GGA.

Values from the calculation:
The value obtained for the raw formation energy is 1.724 eV per atom. The magnetization comes out at 6.01 μB per formula unit. The space group is P4/mmm, No. 123. The density is 3.50 g cm⁻³. Its energy relative to the lowest polymorph listed for this composition is 11.45 kcal/mol of atoms.

Cell: 5.1167 5.1167 6.3452 Å, 90.00 90.00 90.00°
Each line ends with the local moment (μB).
Element x y z (fractional)
Se  0.0000  0.0000  0.5000  0.49
N  0.5000  0.0000  0.0000  1.69
N  0.0000  0.5000  0.0000  1.69
Tl  0.5000  0.5000  0.5000  0.02
K  0.0000  0.0000  0.0000  0.07


Record 3
KVSe2N: relaxed, PBE-GGA.

Values from the calculation:
The value obtained for the raw formation energy is -0.328 eV per atom. The magnetization comes out at 0.00 μB per formula unit. The space group is P4/mmm, No. 123. The density is 4.36 g cm⁻³. Its energy relative to the lowest polymorph listed for this composition is 0.00 kcal/mol of atoms.

Cell: 5.1887 3.7056 5.1887 Å, 90.00 90.00 90.00°
Element x y z (fractional)
N  0.0000  0.5000  0.0000
K  0.5000  0.5000  0.5000
Se  0.0000  0.0000  0.5000
V  0.0000  0.0000  0.0000
Se  0.5000  0.0000  0.0000


Record 4
KVSe2N: relaxed, PBE-GGA.

Values from the calculation:
The value obtained for the raw formation energy is 1.912 eV per atom. The magnetization comes out at 2.12 μB per formula unit. The space group is P4/mmm, No. 123. The density is 3.42 g cm⁻³. Its energy relative to the lowest polymorph listed for this composition is 51.66 kcal/mol of atoms.

Cell: 5.5106 4.1928 5.5106 Å, 90.00 90.00 90.00°
Each line ends with the local moment (μB).
Element x y z (fractional)
V  0.5000  0.5000  0.5000  2.84
Se  0.0000  0.0000  0.5000  -0.47
N  0.0000  0.5000  0.0000  0.06
K  0.0000  0.0000  0.0000  -0.03
Se  0.5000  0.0000  0.0000  -0.34


Record 5
KV2SeN: relaxed, PBE-GGA.

Values from the calculation:
The value obtained for the raw formation energy is 3.004 eV per atom. The magnetization comes out at 7.89 μB per formula unit. The space group is P4/mmm, No. 123. The density is 2.57 g cm⁻³.

Cell: 5.3442 5.2843 5.3442 Å, 90.00 90.00 90.00°
Each line ends with the local moment (μB).
Element x y z (fractional)
Se  0.0000  0.5000  0.0000  -0.19
V  0.5000  0.0000  0.0000  3.25
V  0.0000  0.0000  0.5000  3.21
N  0.5000  0.5000  0.5000  -0.08
K  0.0000  0.0000  0.0000  0.16


Record 6
KWSeN2: relaxed, PBE-GGA.

Values from the calculation:
The value obtained for the raw formation energy is 3.229 eV per atom. The magnetization comes out at 0.00 μB per formula unit. The space group is P4/mmm, No. 123. The density is 6.20 g cm⁻³. Its energy relative to the lowest polymorph listed for this composition is 73.13 kcal/mol of atoms.

Cell: 4.0719 4.0719 5.3317 Å, 90.00 90.00 90.00°
Element x y z (fractional)
N  0.0000  0.5000  0.0000
W  0.5000  0.5000  0.5000
K  0.0000  0.0000  0.0000
N  0.5000  0.0000  0.0000
Se  0.0000  0.0000  0.5000